Record 1
Compound: Be3AlC
Source: Alexandria
Functional: PBE
Structure: optimized geometry

The structure in POSCAR format:
```
Be3AlC
1.0
4.269 0.000 0.000
0.000 4.269 0.000
0.000 0.000 4.269
Be Al C
3 1 1
direct
0.000 0.000 0.500
0.000 0.500 0.000
0.500 0.000 0.000
0.000 0.000 0.000
0.500 0.500 0.500
```

Summary:
Formation energy, eV per atom: 2.2772
Energy relative to the lowest polymorph listed for this composition, meV/atom: 2174
Density of states at the Fermi level, states/eV/atom: 0.52



Record 2
Compound: Be2AlC
Source: Alexandria
Functional: PBE
Structure: optimized geometry

The structure in POSCAR format:
```
Be2AlC
1.0
2.992 0.000 0.000
0.000 1.613 4.333
0.000 -1.613 4.333
Be Al C
2 1 1
direct
0.000 0.000 0.000
0.500 0.448 0.448
0.000 0.719 0.719
0.500 0.880 0.880
```

Summary:
Formation energy, eV per atom: 0.0750
Energy relative to the lowest polymorph listed for this composition, meV/atom: 84
Density of states at the Fermi level, states/eV/atom: 0.11



Record 3
Compound: Be3AlC
Source: Alexandria
Functional: PBE
Structure: optimized geometry

The structure in POSCAR format:
```
Be3AlC
1.0
3.188 0.000 0.000
0.000 1.439 5.653
0.000 -1.439 5.653
Be Al C
3 1 1
direct
0.000 0.000 0.000
0.000 0.184 0.184
0.500 0.531 0.531
0.500 0.825 0.825
0.000 0.590 0.590
```

Summary:
Formation energy, eV per atom: 0.1707
Energy relative to the lowest polymorph listed for this composition, meV/atom: 67
Density of states at the Fermi level, states/eV/atom: 0.16



Record 4
Compound: Be2AlC
Source: Alexandria
Functional: PBE
Structure: optimized geometry

The structure in POSCAR format:
```
Be2AlC
1.0
5.119 -1.508 0.000
5.119 1.508 0.000
-0.288 0.000 4.911
Be Al C
4 2 2
direct
0.039 0.039 0.201
0.310 0.310 0.910
0.690 0.690 0.090
0.961 0.961 0.799
0.363 0.363 0.403
0.637 0.637 0.597
0.131 0.131 0.899
0.869 0.869 0.101
```

Summary:
Formation energy, eV per atom: 0.0767
Energy relative to the lowest polymorph listed for this composition, meV/atom: 86
Density of states at the Fermi level, states/eV/atom: 0.19



Record 5
Compound: Be3AlC
Source: Alexandria
Functional: PBE
Structure: optimized geometry

The structure in POSCAR format:
```
Be3AlC
1.0
1.474 0.851 6.489
-1.474 0.851 6.489
0.000 -1.702 6.489
Be Al C
3 1 1
direct
0.000 0.000 0.000
0.261 0.261 0.261
0.728 0.728 0.728
0.496 0.496 0.496
0.355 0.355 0.355
```

Summary:
Formation energy, eV per atom: 0.1228
Energy relative to the lowest polymorph listed for this composition, meV/atom: 19
Density of states at the Fermi level, states/eV/atom: 0.28



Record 6
Compound: Be3AlC
Source: Alexandria
Functional: PBE
Structure: optimized geometry

The structure in POSCAR format:
```
Be3AlC
1.0
3.485 0.000 0.000
0.231 4.226 0.000
0.033 1.766 6.395
Be Al C
6 2 2
direct
0.000 0.000 0.000
0.000 0.500 0.000
0.001 0.414 0.668
0.500 0.278 0.920
0.500 0.722 0.080
0.999 0.586 0.332
0.453 0.860 0.710
0.547 0.140 0.290
0.091 0.166 0.487
0.909 0.834 0.513
```

Summary:
Formation energy, eV per atom: 0.2222
Energy relative to the lowest polymorph listed for this composition, meV/atom: 119
Density of states at the Fermi level, states/eV/atom: 0.21



Record 7
Compound: BeAl2C
Source: Alexandria
Functional: PBE
Structure: optimized geometry

The structure in POSCAR format:
```
BeAl2C
1.0
-2.767 2.767 3.870
2.767 -2.767 3.870
2.767 2.767 -3.870
Be Al C
2 4 2
direct
0.000 0.000 0.000
0.750 0.250 0.500
0.205 0.625 0.080
0.375 0.455 0.580
0.545 0.125 0.920
0.875 0.795 0.420
0.250 0.750 0.500
0.500 0.500 0.000
```

Summary:
Formation energy, eV per atom: 0.5460
Energy relative to the lowest polymorph listed for this composition, meV/atom: 0
Density of states at the Fermi level, states/eV/atom: 0.02



Record 8
Compound: Be3AlC
Source: Alexandria
Functional: PBE
Structure: optimized geometry

The structure in POSCAR format:
```
Be3AlC
1.0
2.942 0.000 0.000
-1.471 2.548 0.000
0.000 0.000 6.643
Be Al C
3 1 1
direct
0.000 0.000 0.000
0.333 0.667 0.182
0.667 0.333 0.393
0.333 0.667 0.675
0.667 0.333 0.126
```

Summary:
Formation energy, eV per atom: 0.1037
Energy relative to the lowest polymorph listed for this composition, meV/atom: 0
Density of states at the Fermi level, states/eV/atom: 0.04



Record 9
Compound: Be2AlC
Source: Alexandria
Functional: PBE
Structure: optimized geometry

The structure in POSCAR format:
```
Be2AlC
1.0
5.102 -1.627 0.000
5.102 1.627 0.000
-4.120 0.000 5.214
Be Al C
4 2 2
direct
0.000 0.000 0.000
0.013 0.013 0.621
0.287 0.287 0.844
0.629 0.629 0.005
0.388 0.388 0.278
0.712 0.712 0.487
0.159 0.159 0.946
0.504 0.504 0.113
```

Summary:
Formation energy, eV per atom: 0.1091
Energy relative to the lowest polymorph listed for this composition, meV/atom: 118
Density of states at the Fermi level, states/eV/atom: 0.21



Record 10
Compound: Be3AlC
Source: Alexandria
Functional: PBE
Structure: optimized geometry

The structure in POSCAR format:
```
Be3AlC
1.0
3.660 0.000 0.000
0.000 3.660 0.000
0.000 0.000 3.660
Be Al C
3 1 1
direct
0.000 0.000 0.500
0.000 0.500 0.000
0.500 0.000 0.000
0.500 0.500 0.500
0.000 0.000 0.000
```

Summary:
Formation energy, eV per atom: 0.4309
Energy relative to the lowest polymorph listed for this composition, meV/atom: 327
Density of states at the Fermi level, states/eV/atom: 0.25



Record 11
Compound: Be2AlC
Source: Alexandria
Functional: PBE
Structure: optimized geometry

The structure in POSCAR format:
```
Be2AlC
1.0
1.519 0.877 4.830
-1.519 0.877 4.830
0.000 -1.754 4.830
Be Al C
2 1 1
direct
0.000 0.000 0.000
0.240 0.240 0.240
0.458 0.458 0.458
0.880 0.880 0.880
```

Summary:
Formation energy, eV per atom: 0.0917
Energy relative to the lowest polymorph listed for this composition, meV/atom: 101
Density of states at the Fermi level, states/eV/atom: 0.28



Record 12
Compound: BeAl2C
Source: Alexandria
Functional: PBE
Structure: optimized geometry

The structure in POSCAR format:
```
BeAl2C
1.0
2.034 1.174 5.151
-2.034 1.174 5.151
0.000 -2.348 5.151
Be Al C
1 2 1
direct
0.000 0.000 0.000
0.377 0.377 0.377
0.623 0.623 0.623
0.500 0.500 0.500
```

Summary:
Formation energy, eV per atom: 1.1455
Energy relative to the lowest polymorph listed for this composition, meV/atom: 599
Density of states at the Fermi level, states/eV/atom: 0.35